# PBE CeHoCoRh, optimized geometry
data_CeHoCoRh
_cell_length_a 6.812
_cell_length_b 6.812
_cell_length_c 6.812
_cell_angle_alpha 90.00
_cell_angle_beta 90.00
_cell_angle_gamma 90.00
_symmetry_space_group_name_H-M 'F -4 3 m'
_symmetry_Int_Tables_number 216
_symmetry_space_group_name_Hall 'F -4 2 3'
loop_
_atom_site_label
_atom_site_type_symbol
_atom_site_fract_x
_atom_site_fract_y
_atom_site_fract_z
Ce1 Ce 0.000 0.000 0.000
Ho1 Ho 0.000 0.000 0.500
Co1 Co 0.250 0.250 0.250
Rh1 Rh 0.250 0.250 0.750
# Raw total energy   -106.8 eV for the cell shown
# DOS at the Fermi energy   19.06 states/eV per cell
# Calculated volume   316.1 Å³/cell